A geometry-optimized Ca2Ag15Hg2 structure. Source: Alexandria, functional PBE.

Cell and atoms, written as POSCAR:
```
Ca2Ag15Hg2
1.0
4.898 2.828 4.722
-4.898 2.828 4.722
0.000 -5.656 4.722
Ca Ag Hg
2 15 2
direct
0.154 0.154 0.154
0.846 0.846 0.846
0.000 0.500 0.500
0.154 0.154 0.664
0.154 0.664 0.154
0.186 0.500 0.814
0.186 0.814 0.500
0.336 0.846 0.846
0.500 0.000 0.500
0.500 0.186 0.814
0.500 0.500 0.000
0.500 0.814 0.186
0.664 0.154 0.154
0.814 0.186 0.500
0.814 0.500 0.186
0.846 0.336 0.846
0.846 0.846 0.336
0.395 0.395 0.395
0.605 0.605 0.605
```

Results
**Size of the total moment**: 0.0 μB/cell
**Symmetry**: R-3m (166)
**Energy of formation**: -0.09 eV per atom
**DFT total energy**: -2.581 eV per atom
**N(E_F)**: 7.1 states/eV/f.u.
**Density**: 8.9 g/cm³